Cd2ReRu: relaxed, PBE.

The structure in CIF format:
```
data_Cd2ReRu
_chemical_formula_sum 'Cd4 Re2 Ru2'
_cell_length_a 2.976
_cell_length_b 4.769
_cell_length_c 9.889
_cell_angle_alpha 90.00
_cell_angle_beta 90.00
_cell_angle_gamma 90.00
_symmetry_space_group_name_H-M 'C m m 2'
_symmetry_Int_Tables_number 35
loop_
_symmetry_equiv_pos_as_xyz
'x,y,z'
'-x,-y,z'
'-x,y,z'
'x,-y,z'
'x+1/2,y+1/2,z'
'-x+1/2,-y+1/2,z'
'-x+1/2,y+1/2,z'
'x+1/2,-y+1/2,z'
loop_
_atom_site_label
_atom_site_fract_x
_atom_site_fract_y
_atom_site_fract_z
_atom_site_occupancy
Cd1 0.000 0.000 0.000 1
Cd2 0.000 0.500 0.283 1
Re1 0.000 0.000 0.542 1
Ru1 0.000 0.500 0.750 1
```

DFT formation energy = 0.39 eV per atom